[1]
This record from Alexandria describes crystalline SmScCdAu at its relaxed geometry. The functional is PBE.

abc: 5.1105 5.1105 5.1105
angles: 60.00 60.00 60.00
Fractional positions:
Sc1 0.0000 0.0000 0.0000
Cd1 0.7500 0.7500 0.7500
Au1 0.2500 0.2500 0.2500
Sm1 0.5000 0.5000 0.5000

Calculated values
formation enthalpy at 0 K = -11.39 kcal/mol of atoms

[2]
This record from Alexandria describes crystalline SmSc2CdAu4 at its relaxed geometry. The functional is PBE.

abc: 4.7900 4.7900 8.9595
angles: 74.50 74.50 60.00
Fractional positions:
Au1 0.6131 0.6131 0.1608
Au2 0.3869 0.3869 0.8392
Au3 0.1211 0.1211 0.6368
Au4 0.8789 0.8789 0.3632
Sm1 0.0000 0.0000 0.0000
Sc1 0.7603 0.7603 0.7190
Sc2 0.2397 0.2397 0.2810
Cd1 0.5000 0.5000 0.5000

Calculated values
formation enthalpy at 0 K = -15.50 kcal/mol of atoms

[3]
This record from Alexandria describes crystalline ScCdSn2Au at its relaxed geometry. The functional is PBE.

abc: 5.5785 5.1412 5.5785
angles: 90.00 90.00 90.00
Fractional positions:
Au1 0.0000 0.5000 0.0000
Sn1 0.5000 0.0000 0.0000
Sn2 0.0000 0.0000 0.5000
Sc1 0.0000 0.0000 0.0000
Cd1 0.5000 0.5000 0.5000

Calculated values
formation enthalpy at 0 K = 8.33 kcal/mol of atoms

no.,volume (Å³ per cell),D(E_F) (states/eV/f.u.)
1,94.4,4.5
2,169.3,4.5
3,160.0,3.0